Compound: SiGe2TeH
Source: the Alexandria database
Functional: PBE-GGA
Structure: optimized geometry

total energy = -3.6887 eV/atom
SG = P4/mmm (123)

Lattice parameters (Å, degrees): 4.981 4.981 3.591 90.00 90.00 90.00
Atoms (fractional coordinates):
Si (0.000, 0.000, 0.000)
Ge (0.000, 0.500, 0.500)
Ge (0.500, 0.000, 0.500)
Te (0.500, 0.500, 0.000)
H (0.000, 0.000, 0.500)

Compound: PmYEr5Th2
Source: the Alexandria database
Functional: PBE-GGA
Structure: optimized geometry

formation enthalpy at 0 K = 0.33 eV/atom
SG = I4/mcm (140)

Lattice parameters (Å, degrees): 9.857 9.857 9.857 127.34 127.34 77.69
Atoms (fractional coordinates):
Pm (0.250, 0.750, 0.500)
Pm (0.750, 0.250, 0.500)
Y (0.250, 0.250, 0.000)
Y (0.750, 0.750, 0.000)
Er (0.000, 0.000, 0.000)
Er (0.069, 0.569, 0.917)
Er (0.153, 0.069, 0.500)
Er (0.347, 0.847, 0.917)
Er (0.431, 0.347, 0.500)
Er (0.500, 0.500, 0.000)
Er (0.569, 0.653, 0.500)
Er (0.653, 0.153, 0.083)
Er (0.847, 0.931, 0.500)
Er (0.931, 0.431, 0.083)
Th (0.119, 0.381, 0.500)
Th (0.381, 0.881, 0.261)
Th (0.619, 0.119, 0.739)
Th (0.881, 0.619, 0.500)

Compound: TbPm4Th3N8
Source: the Alexandria database
Functional: PBE-GGA
Structure: optimized geometry

E_form (uncorrected) = -1.5587 eV per atom
SG = R-3m (166)

Lattice parameters (Å, degrees): 7.239 7.239 7.239 60.08 60.08 60.08
Atoms (fractional coordinates):
Tb (0.000, 0.000, 0.000)
Pm (0.000, 0.000, 0.500)
Pm (0.000, 0.500, 0.000)
Pm (0.500, 0.000, 0.000)
Pm (0.500, 0.500, 0.500)
Th (0.000, 0.500, 0.500)
Th (0.500, 0.000, 0.500)
Th (0.500, 0.500, 0.000)
N (0.247, 0.247, 0.745)
N (0.247, 0.745, 0.247)
N (0.253, 0.253, 0.253)
N (0.255, 0.753, 0.753)
N (0.745, 0.247, 0.247)
N (0.747, 0.747, 0.747)
N (0.753, 0.255, 0.753)
N (0.753, 0.753, 0.255)

Compound: Ta2MoIr5Ru
Source: the Alexandria database
Functional: PBE-GGA
Structure: optimized geometry

formation enthalpy at 0 K = 0.42 eV/atom
SG = I4/mcm (140)

Lattice parameters (Å, degrees): 7.558 7.558 7.558 120.75 120.75 88.70
Atoms (fractional coordinates):
Ta (0.118, 0.618, 0.735)
Ta (0.382, 0.118, 0.500)
Ta (0.618, 0.882, 0.500)
Ta (0.882, 0.382, 0.265)
Mo (0.250, 0.250, 0.000)
Mo (0.750, 0.750, 0.000)
Ir (0.000, 0.000, 0.000)
Ir (0.064, 0.167, 0.500)
Ir (0.167, 0.667, 0.103)
Ir (0.333, 0.436, 0.500)
Ir (0.436, 0.936, 0.103)
Ir (0.500, 0.500, 0.000)
Ir (0.564, 0.064, 0.897)
Ir (0.667, 0.564, 0.500)
Ir (0.833, 0.333, 0.897)
Ir (0.936, 0.833, 0.500)
Ru (0.250, 0.750, 0.500)
Ru (0.750, 0.250, 0.500)

Compound: TaRuN2
Source: the Alexandria database
Functional: PBE-GGA
Structure: optimized geometry

E_form (uncorrected) = -0.2669 eV per atom
SG = I-42d (122)

Lattice parameters (Å, degrees): 4.468 4.468 10.216 90.00 90.00 90.00
Atoms (fractional coordinates):
Ta (0.000, 0.000, 0.000)
Ta (0.000, 0.500, 0.250)
Ta (0.500, 0.000, 0.750)
Ta (0.500, 0.500, 0.500)
Ru (0.000, 0.000, 0.500)
Ru (0.000, 0.500, 0.750)
Ru (0.500, 0.000, 0.250)
Ru (0.500, 0.500, 0.000)
N (0.239, 0.250, 0.125)
N (0.250, 0.739, 0.375)
N (0.250, 0.761, 0.875)
N (0.261, 0.250, 0.625)
N (0.739, 0.750, 0.625)
N (0.750, 0.239, 0.875)
N (0.750, 0.261, 0.375)
N (0.761, 0.750, 0.125)

Compound: Nd2CdPb8
Source: the Alexandria database
Functional: PBE-GGA
Structure: optimized geometry

formation enthalpy at 0 K = -0.22 eV/atom
SG = P4/mmm (123)

Lattice parameters (Å, degrees): 4.810 4.810 14.767 90.00 90.00 90.00
Atoms (fractional coordinates):
Nd (0.000, 0.000, 0.162)
Nd (0.000, 0.000, 0.838)
Cd (0.000, 0.000, 0.500)
Pb (0.000, 0.500, 0.000)
Pb (0.000, 0.500, 0.352)
Pb (0.000, 0.500, 0.648)
Pb (0.500, 0.000, 0.000)
Pb (0.500, 0.000, 0.352)
Pb (0.500, 0.000, 0.648)
Pb (0.500, 0.500, 0.184)
Pb (0.500, 0.500, 0.816)

Compound: TcTe2
Source: the Alexandria database
Functional: PBE-GGA
Structure: optimized geometry

E_form (uncorrected) = 1.0500 eV per atom
SG = P6_3/mmc (194)

Lattice parameters (Å, degrees): 6.009 6.009 11.750 90.00 90.00 120.00
Atoms (fractional coordinates):
Tc (0.333, 0.667, 0.084)
Tc (0.333, 0.667, 0.416)
Tc (0.667, 0.333, 0.584)
Tc (0.667, 0.333, 0.916)
Te (0.000, 0.000, 0.000)
Te (0.000, 0.000, 0.500)
Te (0.167, 0.335, 0.250)
Te (0.167, 0.833, 0.250)
Te (0.335, 0.167, 0.750)
Te (0.665, 0.833, 0.250)
Te (0.833, 0.167, 0.750)
Te (0.833, 0.665, 0.750)

Compound: SrCdSi3
Source: the Alexandria database
Functional: PBE-GGA
Structure: optimized geometry

E_form (uncorrected) = 0.6669 eV per atom
SG = Pm-3m (221)

Lattice parameters (Å, degrees): 5.130 5.130 5.130 90.00 90.00 90.00
Atoms (fractional coordinates):
Sr (0.000, 0.000, 0.000)
Cd (0.500, 0.500, 0.500)
Si (0.000, 0.500, 0.500)
Si (0.500, 0.000, 0.500)
Si (0.500, 0.500, 0.000)

Compound: CaSi2OF
Source: the Alexandria database
Functional: PBE-GGA
Structure: optimized geometry

E_form (uncorrected) = -0.1922 eV per atom
SG = P4/mmm (123)

Lattice parameters (Å, degrees): 3.982 3.982 6.264 90.00 90.00 90.00
Atoms (fractional coordinates):
Ca (0.000, 0.000, 0.000)
Si (0.000, 0.500, 0.500)
Si (0.500, 0.000, 0.500)
O (0.500, 0.500, 0.000)
F (0.000, 0.000, 0.500)

Compound: RbSrCuF6
Source: the Alexandria database
Functional: PBE-GGA
Structure: optimized geometry

E_form (uncorrected) = -2.5851 eV per atom
SG = Imma (74)

Lattice parameters (Å, degrees): 7.448 7.448 7.448 117.15 115.55 96.46
Atoms (fractional coordinates):
Rb (0.342, 0.092, 0.250)
Rb (0.658, 0.908, 0.750)
Sr (0.000, 0.500, 0.500)
Sr (0.500, 0.500, 0.000)
Cu (0.000, 0.000, 0.500)
Cu (0.000, 0.500, 0.000)
F (0.036, 0.335, 0.134)
F (0.036, 0.902, 0.700)
F (0.064, 0.314, 0.750)
F (0.299, 0.098, 0.634)
F (0.299, 0.665, 0.200)
F (0.380, 0.630, 0.750)
F (0.620, 0.370, 0.250)
F (0.701, 0.335, 0.800)
F (0.701, 0.902, 0.366)
F (0.936, 0.686, 0.250)
F (0.964, 0.098, 0.300)
F (0.964, 0.665, 0.866)

Compound: Pm2SmUSb4
Source: the Alexandria database
Functional: PBE-GGA
Structure: optimized geometry

E_form (uncorrected) = -0.9278 eV per atom
SG = P2/m (10)

Lattice parameters (Å, degrees): 7.716 4.435 7.742 90.00 109.07 90.00
Atoms (fractional coordinates):
Pm (0.000, 0.000, 0.000)
Pm (0.000, 0.500, 0.500)
Sm (0.500, 0.000, 0.500)
U (0.500, 0.500, 0.000)
Sb (0.255, 0.000, 0.754)
Sb (0.255, 0.500, 0.247)
Sb (0.745, 0.000, 0.246)
Sb (0.745, 0.500, 0.753)

Compound: NaPmGa2I6
Source: the Alexandria database
Functional: PBE-GGA
Structure: optimized geometry

E_form (uncorrected) = -0.9442 eV per atom
SG = R3 (146)

Lattice parameters (Å, degrees): 8.699 8.699 8.699 56.19 56.19 56.19
Atoms (fractional coordinates):
Na (0.000, 0.000, 0.000)
Pm (0.494, 0.494, 0.494)
Ga (0.305, 0.305, 0.305)
Ga (0.809, 0.809, 0.809)
I (0.109, 0.707, 0.396)
I (0.232, 0.607, 0.868)
I (0.396, 0.109, 0.707)
I (0.607, 0.868, 0.232)
I (0.707, 0.396, 0.109)
I (0.868, 0.232, 0.607)

What are the spin magnetization values for these records? In order: 0.00, 0.00, 0.00, 0.00, 0.00, 0.00, 0.00, 0.00, 0.76, 2.48, 2.55, 0.00 μB per cell.